# 1
Entry from Alexandria via LeMat-Bulk: a relaxed SrTa2Ru crystal (GGA-PBE).

Structure (POSCAR):
```
SrTa2Ru
1.0
0.000 3.358 3.358
3.358 0.000 3.358
3.358 3.358 0.000
Ru Sr Ta
1 1 2
direct
0.500 0.500 0.500
0.000 0.000 0.000
0.250 0.250 0.250
0.750 0.750 0.750
```

Properties
DOS(E_F)	4.87	states/eV/cell
excess energy over the best structure of this formula in the dataset	557.4	meV per atom
theoretical density	12.1	g/cm3
symmetry	No. 225

=====

# 2
Entry from Alexandria via LeMat-Bulk: a relaxed Sr2TaRu crystal (GGA-PBE).

Structure (POSCAR):
```
Sr2TaRu
1.0
9.586 -0.018 -0.003
8.962 3.402 -0.003
0.773 0.141 3.783
Ru Sr Ta
1 2 1
direct
0.250 0.250 0.250
0.901 0.901 0.101
0.599 0.599 0.399
0.750 0.750 0.750
```

Properties
DOS(E_F)	4.64	states/eV/cell
excess energy over the best structure of this formula in the dataset	118.9	meV per atom
theoretical density	6.1	g/cm3
symmetry	No. 12

=====

# 3
Entry from Alexandria via LeMat-Bulk: a relaxed Sr2TaRu crystal (GGA-PBE).

Structure (POSCAR):
```
Sr2TaRu
1.0
-4.188 1.516 -2.585
-1.873 -1.856 1.945
-2.021 2.964 5.011
Ru Sr Ta
1 2 1
direct
0.500 0.750 0.750
0.000 0.924 0.989
0.000 0.576 0.511
0.500 0.250 0.250
```

Properties
DOS(E_F)	5.09	states/eV/cell
excess energy over the best structure of this formula in the dataset	778.3	meV per atom
theoretical density	8.0	g/cm3
symmetry	No. 10

=====

# 4
Entry from Alexandria via LeMat-Bulk: a relaxed SrTaRu crystal (GGA-PBE).

Structure (POSCAR):
```
SrTaRu
1.0
4.607 0.000 0.000
2.304 3.990 0.000
2.304 1.330 3.762
Ru Sr Ta
1 1 1
direct
0.500 0.500 0.500
0.750 0.750 0.750
0.000 0.000 0.000
```

Properties
DOS(E_F)	2.37	states/eV/cell
excess energy over the best structure of this formula in the dataset	1930.4	meV per atom
theoretical density	8.9	g/cm3
symmetry	No. 216

=====

| no. | ΔH_f (0 K) (meV/atom) |
| --- | --- |
| 1 | 829 |
| 2 | 344 |
| 3 | 1003 |
| 4 | 2189 |